First-principles (GGA-PBE) data for MgTlMo2 after structural relaxation, as listed in the Alexandria database.

a b c (Å): 4.6672 4.6672 6.5383
angles (deg): 90.00 90.00 90.00
Space group I-4m2 (No. 119)
One atom of each set of equivalent atoms:
Mg 0.0000 0.0000 0.0000 (multiplicity 2)
Tl 0.0000 0.5000 0.7500 (multiplicity 2)
Mo 0.0000 0.0000 0.5000 (multiplicity 2)
Mo 0.0000 0.5000 0.2500 (multiplicity 2)

Results
DFT formation energy ... 48.2 kJ per mole of atoms
Energy relative to the lowest polymorph listed for this composition ... 20.9 kJ/mol of atoms
Magnetization ... 0.00 Bohr magnetons per cell